# PrAs2Au (PBE, relaxed)
# - Energy of formation: -766 meV per atom
# - Total magnetic moment: 0.00 μB/cell
# - DFT total energy: -20.42 eV per formula unit
data_PrAs2Au
_symmetry_space_group_name_H-M 'P b c m'
_symmetry_Int_Tables_number 57
_cell_length_a 5.896
_cell_length_b 20.779
_cell_length_c 5.858
_cell_angle_alpha 90.00
_cell_angle_beta 90.00
_cell_angle_gamma 90.00
loop_
_symmetry_equiv_pos_as_xyz
'x,y,z'
'-x,-y,-z'
'-x,-y,z+1/2'
'x,y,-z+1/2'
'x,-y+1/2,-z'
'-x,y+1/2,z'
'-x,y+1/2,-z+1/2'
'x,-y+1/2,z+1/2'
loop_
_atom_site_label
_atom_site_type_symbol
_atom_site_fract_x
_atom_site_fract_y
_atom_site_fract_z
Pr1 Pr 0.014 0.117 0.250
Pr2 Pr 0.485 0.620 0.750
As1 As 0.014 0.159 0.750
As2 As 0.274 0.001 0.532
As3 As 0.486 0.660 0.250
Au1 Au 0.229 0.750 0.000
Au2 Au 0.268 0.250 0.000